Run w
4
Lattice="3.1877 0.0000 0.0000 0.0000 3.2315 0.0112 0.0000 -0.0283 7.5659" Properties=species:S:1:pos:R:3 comment="TaMo2Br (PBE, optimized geometry)" space_group="Pmmm (47)" mass_density_g_cm3=9.65 pbc="T T T"
Mo 0.0000 2.4218 0.3749
Mo 0.0000 2.4113 3.4249
Ta 1.5938 0.8008 1.8943
Br 1.5938 2.4024 5.6828



Run x
4
Lattice="3.0582 0.0000 0.0000 0.0000 4.6353 0.0000 0.0000 0.0000 4.7796" Properties=species:S:1:pos:R:3 comment="TaMo2Br (PBE, optimized geometry)" space_group="Pmmm (47)" mass_density_g_cm3=11.10 pbc="T T T"
Br 0.0000 2.3176 2.3898
Mo 0.0000 0.0000 0.0000
Mo 1.5291 2.3176 0.0000
Ta 1.5291 0.0000 2.3898



Run y
4
Lattice="5.4108 -0.0067 0.0000 2.7163 4.6796 0.0000 -4.0636 -2.3365 2.7029" Properties=species:S:1:pos:R:3 comment="TaMo2Br (PBE, optimized geometry)" space_group="I-4m2 (119)" mass_density_g_cm3=10.98 pbc="T T T"
Mo 1.3582 2.3398 1.3514
Mo 0.0000 0.0000 0.0000
Br 2.7054 -0.0033 1.3514
Ta 4.0636 2.3365 0.0000



Most favorable first, least favorable last: run w, run x, run y



Run w
4
Lattice="3.1325 0.0000 0.0000 0.0000 3.1325 0.0000 0.0000 0.0000 7.3576" Properties=species:S:1:pos:R:3 comment="TaMo2Br (PBE, optimized geometry)" space_group="P4mm (99)" mass_density_g_cm3=10.41 pbc="T T T"
Ta 0.0000 0.0000 3.4721
Br 1.5662 1.5662 5.4837
Mo 1.5662 1.5662 1.7675
Mo 0.0000 0.0000 0.3130



Run x
4
Lattice="-4.3320 1.0959 1.0420 -2.7547 1.7717 -3.2134 -3.4652 -2.4943 -1.6805" Properties=species:S:1:pos:R:3 comment="TaMo2Br (PBE, optimized geometry)" space_group="Fm-3m (225)" mass_density_g_cm3=11.01 pbc="T T T"
Br 0.0000 0.0000 0.0000
Mo -7.9140 0.2799 -2.8890
Mo -2.6380 0.0933 -0.9630
Ta -5.2760 0.1866 -1.9260



Most favorable first, least favorable last: run w, run x



Run w
4
Lattice="2.9722 0.0121 0.0000 -1.2008 2.7189 0.0000 0.0000 0.0000 8.8827" Properties=species:S:1:pos:R:3 comment="TaMo2Br (PBE, optimized geometry)" space_group="Cmmm (65)" mass_density_g_cm3=10.45 pbc="T T T"
Ta 0.8857 1.3655 2.2207
Mo 0.0000 0.0000 0.1087
Mo 0.0000 0.0000 4.3327
Br 0.8857 1.3655 6.6621



Run x
4
Lattice="-3.1634 1.9927 -3.3278 -2.0253 -2.8413 3.5885 -0.3172 2.4903 1.7927" Properties=species:S:1:pos:R:3 comment="TaMo2Br (PBE, optimized geometry)" space_group="Cmmm (65)" mass_density_g_cm3=10.87 pbc="T T T"
Mo 0.0000 0.0000 0.0000
Mo -2.5943 -0.4243 0.1304
Ta -1.7403 2.2415 -0.7675
Br -1.1712 -0.1755 2.6906



Run y
4
Lattice="-0.1692 4.6172 -2.3155 -2.9099 4.1789 -0.8822 1.4277 2.6949 3.5541" Properties=species:S:1:pos:R:3 comment="TaMo2Br (PBE, optimized geometry)" space_group="C2/m (12)" mass_density_g_cm3=10.59 pbc="T T T"
Mo -0.7266 5.7199 0.3599
Mo 1.3286 2.7206 3.3724
Ta -1.2385 8.6184 0.2673
Br -0.4128 2.8728 0.0891



Run z
4
Lattice="8.6506 -0.0044 -0.0026 8.0841 3.0790 -0.0026 8.0841 1.4853 2.6971" Properties=species:S:1:pos:R:3 comment="TaMo2Br (PBE, optimized geometry)" space_group="R-3m (166)" mass_density_g_cm3=10.44 pbc="T T T"
Mo 12.5064 2.2977 1.3565
Mo 24.7219 4.5421 2.6814
Br 18.6141 3.4199 2.0189
Ta 6.2047 1.1400 0.6730



Most favorable first, least favorable last: run w, run z, run y, run x



Run w
4
Lattice="-1.7937 8.7844 -0.5150 -2.1636 8.3354 2.5472 0.6806 8.8477 1.3796" Properties=species:S:1:pos:R:3 comment="TaMo2Br (PBE, optimized geometry)" space_group="R3m (160)" mass_density_g_cm3=10.16 pbc="T T T"
Mo -0.8299 6.5771 0.8641
Mo -3.2383 25.6633 3.3718
Ta -1.6409 13.0042 1.7086
Br -2.4825 19.6739 2.5849



Run x
4
Lattice="-4.5054 2.5506 -1.5881 -4.7822 -2.5379 0.1250 4.2490 0.8613 3.2450" Properties=species:S:1:pos:R:3 comment="TaMo2Br (PBE, optimized geometry)" space_group="I4/mmm (139)" mass_density_g_cm3=11.06 pbc="T T T"
Ta -2.5885 -0.8352 1.3192
Mo 0.0000 0.0000 0.0000
Mo -4.6438 0.0064 -0.7315
Br -2.4501 1.7091 0.4627



Most favorable first, least favorable last: run w, run x



Run w
8
Lattice="-4.4869 -5.6258 -2.1773 0.3601 -2.9585 6.9022 -4.1719 -2.8863 3.0750" Properties=species:S:1:pos:R:3 comment="TaMo2Br (PBE, optimized geometry)" space_group="I-42d (122)" mass_density_g_cm3=10.11 pbc="T T T"
Br -2.9376 -5.0684 6.1699
Br -2.0634 -4.2921 2.3625
Mo -3.7983 -4.6026 0.2726
Mo -1.3827 -3.2788 4.8086
Mo -6.7402 -9.6734 6.4345
Mo -4.6762 -5.3864 4.0842
Ta -5.3611 -6.4021 1.6301
Ta 0.0000 0.0000 0.0000



Run x
4
Lattice="-2.8295 -3.3059 3.3626 2.5773 -2.5855 4.1127 -1.3293 4.8047 -2.3217" Properties=species:S:1:pos:R:3 comment="TaMo2Br (PBE, optimized geometry)" space_group="Immm (71)" mass_density_g_cm3=11.17 pbc="T T T"
Mo -0.1242 -2.9018 3.6820
Mo -0.0019 -0.0439 0.0557
Ta -2.1424 -0.7234 2.3893
Br 0.5610 -0.3633 2.7644



Run y
4
Lattice="2.9724 -0.0008 0.0000 -1.1999 2.7194 0.0000 0.0000 0.0000 9.0479" Properties=species:S:1:pos:R:3 comment="TaMo2Br (PBE, optimized geometry)" space_group="Cmm2 (35)" mass_density_g_cm3=10.28 pbc="T T T"
Ta 0.0000 0.0000 4.4425
Mo 0.8862 1.3593 2.2295
Mo 0.0000 0.0000 0.2643
Br 0.8862 1.3593 6.6356



Run z
4
Lattice="-2.1239 -0.4708 4.9750 -0.7332 -3.2132 4.3151 3.0008 0.6963 3.4306" Properties=species:S:1:pos:R:3 comment="TaMo2Br (PBE, optimized geometry)" space_group="Cm (8)" mass_density_g_cm3=11.06 pbc="T T T"
Br -0.0955 -0.7961 3.1075
Mo -2.8407 -3.6779 9.2988
Mo 0.2024 -2.2036 9.5849
Ta 0.0926 -1.4881 6.3802



Most favorable first, least favorable last: run y, run z, run x, run w



Run w
4
Lattice="-3.1133 0.2814 -0.0565 -0.0698 -1.6451 -4.3499 -0.4212 -4.3303 1.6444" Properties=species:S:1:pos:R:3 comment="TaMo2Br (PBE, optimized geometry)" space_group="P4/mmm (123)" mass_density_g_cm3=11.12 pbc="T T T"
Ta -1.5916 -0.6819 -2.2032
Br -1.7673 -2.0245 0.7940
Mo -0.2455 -2.9877 -1.3527
Mo 0.0000 0.0000 0.0000



Run x
4
Lattice="3.5024 0.0000 0.0000 0.0000 3.5044 0.0000 0.0000 0.0000 6.5684" Properties=species:S:1:pos:R:3 comment="TaMo2Br (PBE, optimized geometry)" space_group="P4/mmm (123)" mass_density_g_cm3=9.32 pbc="T T T"
Br 1.7512 1.7522 4.9263
Ta 1.7512 1.7522 1.6421
Mo 0.0000 0.0000 0.4522
Mo 0.0000 0.0000 2.8320



Most favorable first, least favorable last: run x, run w



Run w
4
Lattice="-4.2658 1.6951 -0.0540 -3.2988 -2.1604 -2.3504 -3.3638 -2.1777 2.2398" Properties=species:S:1:pos:R:3 comment="TaMo2Br (PBE, optimized geometry)" space_group="F-43m (216)" mass_density_g_cm3=10.99 pbc="T T T"
Br -5.4642 -1.3215 -0.0823
Mo 0.0000 0.0000 0.0000
Mo -2.7321 -0.6607 -0.0412
Ta -8.1963 -1.9822 -0.1235



Run x
4
Lattice="4.4707 0.0000 0.0000 0.0000 2.9638 -0.1980 0.0000 1.4222 5.1445" Properties=species:S:1:pos:R:3 comment="TaMo2Br (PBE, optimized geometry)" space_group="Pm (6)" mass_density_g_cm3=10.83 pbc="T T T"
Ta 0.0000 2.0698 2.4218
Br 2.2354 3.8506 3.6300
Mo 0.0000 2.7058 -0.0873
Mo 2.2354 0.9165 1.2571



Most favorable first, least favorable last: run x, run w



Run w
4
Lattice="4.7816 -0.0083 0.0000 -1.0386 4.6674 0.0000 0.0000 0.0000 3.1896" Properties=species:S:1:pos:R:3 comment="Ta2MoBr (PBE, optimized geometry)" space_group="Cmmm (65)" mass_density_g_cm3=12.55 pbc="T T T"
Ta 1.8715 2.3296 0.0000
Ta 0.0000 0.0000 0.0000
Br 2.3908 -0.0041 1.5948
Mo -0.5193 2.3337 1.5948



Run x
4
Lattice="-0.8253 3.0061 -0.0160 -4.3315 -1.1975 -1.5727 -1.5227 -0.3941 4.4939" Properties=species:S:1:pos:R:3 comment="Ta2MoBr (PBE, optimized geometry)" space_group="P4/mmm (123)" mass_density_g_cm3=12.64 pbc="T T T"
Br -2.5784 0.9043 -0.7943
Mo -1.1740 1.3060 2.2390
Ta -2.9271 -0.7958 1.4606
Ta 0.0000 0.0000 0.0000



Most favorable first, least favorable last: run w, run x



Run w
4
Lattice="6.1720 0.0317 0.0863 -2.6359 4.1731 -0.0047 0.9002 1.0239 2.7828" Properties=species:S:1:pos:R:3 comment="Ta2MoBr (PBE, optimized geometry)" space_group="C2/m (12)" mass_density_g_cm3=12.51 pbc="T T T"
Ta 3.5361 0.5278 1.4345
Ta 0.0000 0.0000 0.0000
Mo 1.7681 2.1024 0.0408
Br -0.8679 2.5985 1.3890



Run x
8
Lattice="-1.5349 -0.0354 3.6741 -3.6098 -0.7284 -1.5151 -0.9062 -9.8961 1.6839" Properties=species:S:1:pos:R:3 comment="Ta2MoBr (PBE, optimized geometry)" space_group="I-42d (122)" mass_density_g_cm3=11.64 pbc="T T T"
Ta -2.6678 -2.9335 -0.0828
Ta -2.5931 -7.7053 2.0792
Ta -5.1971 -8.0936 3.1454
Ta -1.6438 -2.5874 2.5440
Mo 0.0000 0.0000 0.0000
Mo -2.5068 -5.1567 3.2188
Br -2.5724 -0.3819 1.0795
Br -3.5442 -5.5032 0.6241



Run y
4
Lattice="4.6628 0.0000 0.0000 2.3314 4.0381 0.0000 2.3314 1.3460 3.8071" Properties=species:S:1:pos:R:3 comment="Ta2MoBr (PBE, optimized geometry)" space_group="F-43m (216)" mass_density_g_cm3=12.46 pbc="T T T"
Ta 2.3314 1.3460 0.9518
Ta 0.0000 0.0000 0.0000
Br 4.6628 2.6921 1.9036
Mo 6.9942 4.0381 2.8554



Run z
4
Lattice="2.9562 0.0000 0.0000 0.0000 2.9562 0.0000 0.0000 0.0000 8.2322" Properties=species:S:1:pos:R:3 comment="Ta2MoBr (PBE, optimized geometry)" space_group="P4mm (99)" mass_density_g_cm3=12.41 pbc="T T T"
Ta 0.0000 0.0000 8.1954
Ta 1.4781 1.4781 2.1377
Br 0.0000 0.0000 4.1456
Mo 1.4781 1.4781 6.1019



Most favorable first, least favorable last: run z, run w, run y, run x



Run w
4
Lattice="-2.1174 -3.6611 -1.8911 -0.1435 -1.3118 2.7003 -4.6826 1.6803 1.9900" Properties=species:S:1:pos:R:3 comment="Ta2MoBr (PBE, optimized geometry)" space_group="Pm (6)" mass_density_g_cm3=12.32 pbc="T T T"
Mo -4.7651 -1.4038 2.3783
Ta -4.7794 0.4359 4.5074
Ta -2.2032 -1.6931 0.0698
Br -2.4351 -0.0789 2.8792



Run x
4
Lattice="4.1195 0.0000 0.0000 0.0000 3.0969 0.0051 0.0000 1.8313 5.9025" Properties=species:S:1:pos:R:3 comment="Ta2MoBr (PBE, optimized geometry)" space_group="P2/m (10)" mass_density_g_cm3=11.86 pbc="T T T"
Mo 2.0598 3.6961 4.4307
Br 2.0598 1.2320 1.4769
Ta 0.0000 2.5499 3.1674
Ta 0.0000 4.8424 5.6939



Run y
4
Lattice="-0.4583 -4.6356 1.3491 2.8028 -0.0565 3.9573 -3.6207 3.0959 -0.9083" Properties=species:S:1:pos:R:3 comment="Ta2MoBr (PBE, optimized geometry)" space_group="I4/mmm (139)" mass_density_g_cm3=12.46 pbc="T T T"
Ta 1.1722 -2.3461 2.6532
Ta 0.0000 0.0000 0.0000
Br 0.1772 0.3467 2.8511
Mo -1.4534 -1.9429 1.5470



Most favorable first, least favorable last: run w, run x, run y